Density functional theory data (PBE+U) for an optimized crystal structure of MnAs2PbO8.

The structure belongs to space group R32 (No. 155, hexagonal axes); the cell edges are 4.8717, 4.8717 and 24.1862 Å and the angles 90.00°, 90.00° and 120.00°. Symmetry generates all atoms from Mn at (0.0000, 0.0000, 0.0000), As at (0.0000, 0.0000, 0.2596), Pb at (0.0000, 0.0000, 0.5000), O at (0.0000, 0.0000, 0.1888) and O at (0.0089, 0.3136, 0.9464).

As for the calculated total energy: -6.097 eV per atom.